1.
Density functional theory data (PBE) for crystalline Ac7SnSe5 at its relaxed geometry.

a b c (Å): 7.632 7.632 26.713
angles (deg): 90.00 90.00 145.40
Fractional positions:
Ac: 0.029 0.971 0.750
Ac: 0.136 0.864 0.036
Ac: 0.136 0.864 0.464
Ac: 0.315 0.685 0.678
Ac: 0.315 0.685 0.822
Ac: 0.404 0.596 0.112
Ac: 0.404 0.596 0.388
Ac: 0.596 0.404 0.612
Ac: 0.596 0.404 0.888
Ac: 0.685 0.315 0.178
Ac: 0.685 0.315 0.322
Ac: 0.864 0.136 0.536
Ac: 0.864 0.136 0.964
Ac: 0.971 0.029 0.250
Sn: 0.302 0.698 0.250
Sn: 0.698 0.302 0.750
Se: 0.045 0.955 0.141
Se: 0.045 0.955 0.359
Se: 0.228 0.772 0.570
Se: 0.228 0.772 0.930
Se: 0.500 0.500 0.000
Se: 0.500 0.500 0.500
Se: 0.772 0.228 0.070
Se: 0.772 0.228 0.430
Se: 0.955 0.045 0.641
Se: 0.955 0.045 0.859

Summary:
E_tot   -140.34 eV for the cell shown
Symmetry   Cmcm (63)
Uncorrected formation energy   -1537 meV/atom



2.
Density functional theory data (PBE) for crystalline Ac3SnSe2 at its relaxed geometry.

a b c (Å): 4.658 6.514 13.692
angles (deg): 90.00 90.00 90.00
Fractional positions:
Ac: 0.000 0.000 0.000
Ac: 0.000 0.000 0.329
Ac: 0.000 0.000 0.671
Ac: 0.500 0.500 0.171
Ac: 0.500 0.500 0.500
Ac: 0.500 0.500 0.829
Sn: 0.000 0.500 0.000
Sn: 0.500 0.000 0.500
Se: 0.000 0.500 0.335
Se: 0.000 0.500 0.665
Se: 0.500 0.000 0.165
Se: 0.500 0.000 0.835

Summary:
Excess energy over the best structure of this formula in the dataset   0.01 eV/f.u.
E_tot   -64.73 eV for the cell shown
Symmetry   Immm (71)
Uncorrected formation energy   -1511 meV/atom



3.
Density functional theory data (PBE) for crystalline Ac2SnSe at its relaxed geometry.

a b c (Å): 8.145 4.713 8.021
angles (deg): 90.00 109.81 90.00
Fractional positions:
Ac: 0.249 0.000 0.246
Ac: 0.251 0.500 0.754
Ac: 0.749 0.500 0.246
Ac: 0.751 0.000 0.754
Sn: 0.000 0.000 0.500
Sn: 0.500 0.500 0.500
Se: 0.000 0.500 0.000
Se: 0.500 0.000 0.000

Summary:
Excess energy over the best structure of this formula in the dataset   0.14 eV/f.u.
E_tot   -41.59 eV for the cell shown
Symmetry   C2/m (12)
Uncorrected formation energy   -1273 meV/atom



4.
Density functional theory data (PBE) for crystalline AcSnSe2 at its relaxed geometry.

a b c (Å): 4.982 6.287 8.103
angles (deg): 109.04 90.30 98.53
Fractional positions:
Ac: 0.245 0.335 0.191
Ac: 0.755 0.665 0.809
Sn: 0.313 0.993 0.643
Sn: 0.687 0.007 0.357
Se: 0.192 0.375 0.599
Se: 0.276 0.777 0.076
Se: 0.724 0.223 0.924
Se: 0.808 0.625 0.401

Summary:
E_tot   -40.23 eV for the cell shown
Symmetry   P-1 (2)
Uncorrected formation energy   -1259 meV/atom



5.
Density functional theory data (PBE) for crystalline Ac2SnSe6 at its relaxed geometry.

a b c (Å): 7.455 7.077 11.544
angles (deg): 90.00 122.68 90.00
Fractional positions:
Ac: 0.223 0.109 0.234
Ac: 0.223 0.391 0.734
Ac: 0.777 0.609 0.266
Ac: 0.777 0.891 0.766
Sn: 0.500 0.000 0.000
Sn: 0.500 0.500 0.500
Se: 0.142 0.188 0.938
Se: 0.142 0.312 0.438
Se: 0.282 0.677 0.973
Se: 0.282 0.823 0.473
Se: 0.325 0.600 0.226
Se: 0.325 0.900 0.726
Se: 0.675 0.100 0.274
Se: 0.675 0.400 0.774
Se: 0.718 0.177 0.527
Se: 0.718 0.323 0.027
Se: 0.858 0.688 0.562
Se: 0.858 0.812 0.062

Summary:
E_tot   -86.45 eV for the cell shown
Symmetry   P2_1/c (14)
Uncorrected formation energy   -1122 meV/atom



6.
Density functional theory data (PBE) for crystalline AcSn2Se8 at its relaxed geometry.

a b c (Å): 7.764 7.764 7.764
angles (deg): 118.90 118.90 91.92
Fractional positions:
Ac: 0.000 0.000 0.000
Sn: 0.250 0.750 0.500
Sn: 0.750 0.250 0.500
Se: 0.149 0.149 0.523
Se: 0.149 0.626 0.000
Se: 0.374 0.374 0.523
Se: 0.374 0.851 0.000
Se: 0.626 0.149 0.000
Se: 0.626 0.626 0.477
Se: 0.851 0.374 0.000
Se: 0.851 0.851 0.477

Summary:
E_tot   -45.00 eV for the cell shown
Symmetry   I4/mmm (139)
Uncorrected formation energy   -456 meV/atom



7.
Density functional theory data (PBE) for crystalline Ac8SnSe6 at its relaxed geometry.

a b c (Å): 11.554 11.554 4.478
angles (deg): 90.00 90.00 120.00
Fractional positions:
Ac: 0.039 0.713 0.247
Ac: 0.287 0.326 0.247
Ac: 0.326 0.039 0.753
Ac: 0.333 0.667 0.750
Ac: 0.667 0.333 0.250
Ac: 0.674 0.961 0.247
Ac: 0.713 0.674 0.753
Ac: 0.961 0.287 0.753
Sn: 0.000 0.000 0.000
Se: 0.131 0.488 0.250
Se: 0.357 0.869 0.250
Se: 0.488 0.357 0.750
Se: 0.512 0.643 0.250
Se: 0.643 0.131 0.750
Se: 0.869 0.512 0.750

Summary:
E_tot   -78.80 eV for the cell shown
Symmetry   P-3 (147)
Uncorrected formation energy   -1401 meV/atom



8.
Density functional theory data (PBE) for crystalline AcSn6Se8 at its relaxed geometry.

a b c (Å): 7.732 7.732 7.732
angles (deg): 88.32 88.32 88.32
Fractional positions:
Ac: 0.000 0.000 0.000
Sn: 0.199 0.357 0.593
Sn: 0.357 0.593 0.199
Sn: 0.407 0.801 0.643
Sn: 0.593 0.199 0.357
Sn: 0.643 0.407 0.801
Sn: 0.801 0.643 0.407
Se: 0.107 0.801 0.358
Se: 0.199 0.642 0.893
Se: 0.245 0.245 0.245
Se: 0.358 0.107 0.801
Se: 0.642 0.893 0.199
Se: 0.755 0.755 0.755
Se: 0.801 0.358 0.107
Se: 0.893 0.199 0.642

Summary:
Excess energy over the best structure of this formula in the dataset   0.28 eV/f.u.
E_tot   -64.61 eV for the cell shown
Symmetry   R-3 (148)
Uncorrected formation energy   -574 meV/atom



9.
Density functional theory data (PBE) for crystalline Ac3SnSe2 at its relaxed geometry.

a b c (Å): 7.980 7.980 8.015
angles (deg): 99.58 99.58 120.24
Fractional positions:
Ac: 0.000 0.500 0.000
Ac: 0.159 0.329 0.499
Ac: 0.329 0.159 0.999
Ac: 0.500 0.000 0.500
Ac: 0.671 0.841 0.001
Ac: 0.841 0.671 0.501
Sn: 0.417 0.583 0.250
Sn: 0.583 0.417 0.750
Se: 0.084 0.916 0.250
Se: 0.252 0.748 0.750
Se: 0.748 0.252 0.250
Se: 0.916 0.084 0.750

Summary:
Excess energy over the best structure of this formula in the dataset   0.00 eV/f.u.
E_tot   -64.75 eV for the cell shown
Symmetry   C2/c (15)
Uncorrected formation energy   -1513 meV/atom



10.
Density functional theory data (PBE) for crystalline Ac4SnSe2 at its relaxed geometry.

a b c (Å): 7.552 7.552 15.403
angles (deg): 90.00 90.00 144.70
Fractional positions:
Ac: 0.000 0.000 0.000
Ac: 0.000 0.000 0.500
Ac: 0.277 0.723 0.623
Ac: 0.277 0.723 0.877
Ac: 0.438 0.562 0.250
Ac: 0.562 0.438 0.750
Ac: 0.723 0.277 0.123
Ac: 0.723 0.277 0.377
Sn: 0.108 0.892 0.250
Sn: 0.892 0.108 0.750
Se: 0.363 0.637 0.062
Se: 0.363 0.637 0.438
Se: 0.637 0.363 0.562
Se: 0.637 0.363 0.938

Summary:
E_tot   -72.26 eV for the cell shown
Symmetry   Cmcm (63)
Uncorrected formation energy   -1246 meV/atom



11.
Density functional theory data (PBE) for crystalline Ac2SnSe at its relaxed geometry.

a b c (Å): 6.604 6.604 13.225
angles (deg): 90.00 90.00 90.00
Fractional positions:
Ac: 0.000 0.250 0.121
Ac: 0.000 0.250 0.629
Ac: 0.000 0.750 0.371
Ac: 0.000 0.750 0.879
Ac: 0.500 0.250 0.379
Ac: 0.500 0.250 0.871
Ac: 0.500 0.750 0.129
Ac: 0.500 0.750 0.621
Sn: 0.000 0.250 0.375
Sn: 0.000 0.750 0.625
Sn: 0.500 0.250 0.125
Sn: 0.500 0.750 0.875
Se: 0.000 0.250 0.875
Se: 0.000 0.750 0.125
Se: 0.500 0.250 0.625
Se: 0.500 0.750 0.375

Summary:
Excess energy over the best structure of this formula in the dataset   0.00 eV/f.u.
E_tot   -83.76 eV for the cell shown
Symmetry   I4_1/amd (141)
Uncorrected formation energy   -1309 meV/atom



12.
Density functional theory data (PBE) for crystalline Ac5SnSe4 at its relaxed geometry.

a b c (Å): 7.886 7.886 7.886
angles (deg): 99.58 99.58 131.83
Fractional positions:
Ac: 0.000 0.000 0.000
Ac: 0.195 0.601 0.797
Ac: 0.399 0.195 0.594
Ac: 0.601 0.805 0.406
Ac: 0.805 0.399 0.203
Sn: 0.500 0.500 0.000
Se: 0.103 0.300 0.404
Se: 0.300 0.897 0.197
Se: 0.700 0.103 0.803
Se: 0.897 0.700 0.596

Summary:
E_tot   -55.04 eV for the cell shown
Symmetry   I4/m (87)
Uncorrected formation energy   -1656 meV/atom



Look up the E_tot of the first one. -140.34 eV for the cell shown